Record 1
Compound: RbSe2S
Source: the Alexandria database
Functional: PBE
Structure: relaxed

Formation energy without anion corrections, eV per atom: -0.43

The structure in POSCAR format:
```
RbSe2S
1.0
-3.4431 -5.8276 -1.1206
-0.4960 -3.4827 4.6846
-9.5458 1.2702 1.7218
Rb Se S
2 4 2
direct
0.8234 0.2500 0.3532
0.1766 0.7500 0.6468
0.2731 0.6233 0.2436
0.4833 0.8767 0.2436
0.7269 0.3767 0.7564
0.5167 0.1233 0.7564
0.3146 0.2500 0.3708
0.6854 0.7500 0.6292
```



Record 2
Compound: FeMoRu2
Source: the Alexandria database
Functional: PBE
Structure: relaxed

Formation energy, kcal/mol of atoms: 3.1
ΔE to the lowest computed polymorph, meV per atom: 95

The structure in POSCAR format:
```
FeMoRu2
1.0
-1.8478 -3.2049 2.2291
-4.3001 -0.1783 0.3635
-2.2168 -3.0735 -2.0722
Ru Mo Fe
2 1 1
direct
0.2500 0.2500 0.2500
0.7500 0.7500 0.7500
0.5000 0.5000 0.5000
0.0000 0.0000 0.0000
```



Record 3
Compound: H2ClF
Source: the Alexandria database
Functional: PBE
Structure: relaxed

ΔE to the lowest computed polymorph, meV per atom: 184

The structure in POSCAR format:
```
H2ClF
1.0
3.2299 0.3700 -2.4877
0.2448 4.0505 -0.5376
-1.7201 0.9185 6.1180
H Cl F
2 1 1
direct
0.9143 0.5429 0.4572
0.0857 0.9571 0.0428
0.5000 0.2500 0.7500
0.5000 0.7500 0.2500
```



Record 4
Compound: V6Ni8Pt
Source: the Alexandria database
Functional: PBE
Structure: relaxed

Formation energy, kcal/mol of atoms: 3.5

The structure in POSCAR format:
```
V6Ni8Pt
1.0
2.6035 0.0000 0.0000
0.0000 9.2740 0.0000
0.0000 -4.6370 8.0315
V Ni Pt
6 8 1
direct
0.7257 0.5279 0.6245
0.7257 0.3755 0.9033
0.7257 0.0967 0.4721
0.2743 0.4721 0.3755
0.2743 0.6245 0.0967
0.2743 0.9033 0.5279
0.8061 0.7103 0.9225
0.8061 0.0775 0.7878
0.8061 0.2122 0.2897
0.1939 0.2897 0.0775
0.1939 0.9225 0.2122
0.1939 0.7878 0.7103
0.7779 0.6667 0.3333
0.2221 0.3333 0.6667
0.5000 0.0000 0.0000
```



Record 5
Compound: TaCuMo2
Source: the Alexandria database
Functional: PBE
Structure: relaxed

Formation energy, kcal/mol of atoms: 5.7
ΔE to the lowest computed polymorph, meV per atom: 177

The structure in POSCAR format:
```
TaCuMo2
1.0
5.1371 -0.1509 0.0000
-2.0522 4.7118 0.0000
0.0000 0.0000 2.6427
Cu Mo Ta
1 2 1
direct
0.0000 0.5000 0.5000
0.0000 0.0000 0.0000
0.5000 0.5000 0.0000
0.5000 0.0000 0.5000
```



Record 6
Compound: Pr2Nd4ThMg
Source: the Alexandria database
Functional: PBE
Structure: relaxed

Formation energy, kcal/mol of atoms: 2.1

The structure in POSCAR format:
```
Pr2Nd4ThMg
1.0
-0.8574 -3.5666 -4.5041
-3.6100 -3.2045 3.2246
-9.6795 1.2352 0.8644
Pr Nd Th Mg
2 4 1 1
direct
0.0000 0.0000 0.0000
0.5000 0.0000 0.5000
0.0000 0.7333 0.7671
0.0000 0.2667 0.2329
0.5000 0.7686 0.2310
0.5000 0.2314 0.7690
0.0000 0.5000 0.5000
0.5000 0.5000 0.0000
```



Record 7
Compound: BaLa2Se
Source: the Alexandria database
Functional: PBE
Structure: relaxed

Formation energy without anion corrections, eV per atom: -0.70

The structure in POSCAR format:
```
BaLa2Se
1.0
-3.1210 -0.9343 -3.3013
3.1186 -2.2676 -2.3065
-0.0969 -7.3023 2.1582
Ba La Se
1 2 1
direct
0.5000 0.7193 0.6663
0.0000 0.9817 0.1364
0.5000 0.4828 0.2097
0.0000 0.3162 0.4876
```



Record 8
Compound: CrRhBr2
Source: the Alexandria database
Functional: PBE
Structure: relaxed

Formation energy without anion corrections, eV per atom: 0.45
ΔE to the lowest computed polymorph, meV per atom: 524

The structure in POSCAR format:
```
CrRhBr2
1.0
4.6906 0.0000 0.0000
0.0000 4.6906 0.0000
0.0000 0.0000 3.3975
Br Cr Rh
2 1 1
direct
0.0000 0.0000 0.0000
0.5000 0.5000 0.0000
0.5000 0.0000 0.5000
0.0000 0.5000 0.5000
```



D(E_F) values, unit states/eV/atom, following the record order: 0.219; 0.942; 0.000; 0.888; 0.664; 1.490; 1.103; 1.231.